HoTh2Fe2 (PBE, relaxed); density of states at the Fermi level = 1.046 states/eV/atom; symmetry = C2/c; energy of formation = 0.01 eV/atom
1.0
5.414 -3.045 0.000
5.414 3.045 0.000
-1.809 0.000 7.150
Ho Th Fe
2 4 4
direct
0.082 0.918 0.750 Ho
0.918 0.082 0.250 Ho
0.231 0.449 0.343 Th
0.449 0.231 0.843 Th
0.551 0.769 0.157 Th
0.769 0.551 0.657 Th
0.062 0.304 0.032 Fe
0.304 0.062 0.532 Fe
0.696 0.938 0.468 Fe
0.938 0.696 0.968 Fe

Y2AgRu (PBE, relaxed); density of states at the Fermi level = 1.103 states/eV/atom; symmetry = F-43m; energy of formation = 0.07 eV/atom
1.0
0.000 3.467 3.467
3.467 0.000 3.467
3.467 3.467 0.000
Y Ag Ru
2 1 1
direct
0.000 0.000 0.000 Y
0.250 0.250 0.250 Y
0.750 0.750 0.750 Ag
0.500 0.500 0.500 Ru

NiHOs (PBE, relaxed); density of states at the Fermi level = 0.729 states/eV/atom; symmetry = Imma; calculated total energy = -0.241 Ha/atom
1.0
-1.870 1.917 3.866
1.870 -1.917 3.866
1.870 1.917 -3.866
Ni H Os
2 2 2
direct
0.377 0.127 0.250 Ni
0.623 0.873 0.750 Ni
0.368 0.618 0.750 H
0.632 0.382 0.250 H
0.118 0.368 0.750 Os
0.882 0.632 0.250 Os

CaCuF4 (PBE, relaxed); energy relative to the elements, uncorrected = -2679 meV/atom; density of states at the Fermi level = 0.282 states/eV/atom; symmetry = Pnc2
1.0
5.311 0.000 0.000
0.000 5.284 0.000
0.000 0.000 5.806
Ca Cu F
2 2 8
direct
0.000 0.000 0.000 Ca
0.000 0.500 0.500 Ca
0.500 0.000 0.357 Cu
0.500 0.500 0.857 Cu
0.190 0.188 0.314 F
0.190 0.312 0.814 F
0.339 0.749 0.100 F
0.339 0.751 0.600 F
0.661 0.249 0.600 F
0.661 0.251 0.100 F
0.810 0.688 0.814 F
0.810 0.812 0.314 F

SrLaAg2 (PBE, relaxed); density of states at the Fermi level = 0.723 states/eV/atom; symmetry = R3m; energy of formation = -0.11 eV/atom
1.0
2.177 1.257 8.069
-2.177 1.257 8.069
0.000 -2.513 8.069
Sr La Ag
1 1 2
direct
0.000 0.000 0.000 Sr
0.170 0.170 0.170 La
0.581 0.581 0.581 Ag
0.756 0.756 0.756 Ag

Which value of density of states at the Fermi level does entry 2 give?
1.103 states/eV/atom

Among the records above, which one has the lowest density of states at the Fermi level?
CaCuF4